Compound: TlSb2Ir
Source: Alexandria
Functional: PBE
Structure: optimized geometry

Cell and atoms, written as POSCAR:
```
TlSb2Ir
1.0
3.540 0.000 0.000
0.000 4.166 -0.024
0.000 1.832 6.818
Ir Sb Tl
1 2 1
direct
0.500 0.548 0.854 Ir
0.000 0.998 0.914 Sb
0.500 0.288 0.234 Sb
0.000 0.666 0.497 Tl
```

Properties
For the formation energy from raw total energies, the calculation gives 0.802 eV per formula unit. As for the polymorph energy (0 for the lowest one): 1.17 eV/f.u. As for the crystal system: monoclinic. As for the density of states at the Fermi level: 1.909 states/eV/f.u. The calculated total energy is -4.67 eV/atom. The calculation puts the total moment at 0.0 μB/f.u.